Computed, not measured: a geometry-optimized NiAg2P structure at the GGA-PBE level of DFT.

The space group is P4mm (No. 99) and the conventional cell measures 2.981, 2.981 and 6.934 Å, with angles of 90.00, 90.00 and 90.00 degrees. Symmetry generates all atoms from Ni at (0.000, 0.000, 0.000), Ag at (0.000, 0.000, 0.427), Ag at (0.500, 0.500, 0.721) and P at (0.500, 0.500, 0.129).

The calculation puts the total magnetization at 0.00 μB/cell. Its calculated volume is 62 Å³/f.u. The calculation puts the formation energy at -0.02 eV/atom. As for the calculated total energy: -4.245 eV/atom.